Here is a relaxed HfSiAu2 crystal from OQMD. Energies are from PBE.

The structure in extended XYZ format:
```
4
Lattice="-1.381 0.651 4.405 -4.108 -1.679 1.427 -0.146 -3.604 2.953" Properties=species:S:1:pos:R:3 pbc="T T T"
Au 0.000 0.000 0.000
Au -4.225 -3.474 6.589
Si -2.817 -2.316 4.392
Hf -1.408 -1.158 2.196
```

Results
Volume, Å³/atom: 17.9
Density, Mg/m³: 13.92
Uncorrected energy, eV/atom: -5.6845
Space-group type: F-43m



Here is a relaxed HfSi2Au crystal from OQMD. Energies are from PBE.

The structure in extended XYZ format:
```
4
Lattice="0.000 3.291 3.291 3.291 0.000 3.291 3.291 3.291 0.000" Properties=species:S:1:pos:R:3 pbc="T T T"
Hf 3.291 3.291 3.291
Au 1.645 1.645 1.645
Si 0.000 0.000 0.000
Si 4.936 4.936 4.936
```

Results
Volume, Å³/atom: 17.8
Density, Mg/m³: 10.06
Uncorrected energy, eV/atom: -5.8950
Space-group type: F-43m